VASP calculation (PBE) on a geometry-optimized RbNa2Zn structure.

Raw total energy (eV per atom): -1.000
DOS at the Fermi energy (states/eV/cell): 6.658
Energy of formation (eV/f.u.): 0.88
Total moment (μB per formula unit): 0.00

Lattice parameters (Å, degrees): 4.3545 4.3545 33.9131 90.00 90.00 120.00
Space group R-3m (No. 166, hexagonal axes)
One atom of each set of equivalent atoms:
Rb: 0.0000 0.0000 0.0000 (multiplicity 3)
Na: 0.0000 0.0000 0.1161 (multiplicity 6)
Zn: 0.0000 0.0000 0.5000 (multiplicity 3)